Entry 1:
The following is a DFT calculation (PBE-GGA) of crystalline Ba3Cd2As2H4 at its relaxed geometry.

```
Ba3Cd2As2H4
1.0
4.5434 0.0000 0.0000
0.0000 4.5434 0.0000
-2.2717 -2.2717 12.2739
Ba Cd As H
3 2 2 4
direct
0.0000 0.0000 0.0000 Ba
0.1782 0.1782 0.3565 Ba
0.8218 0.8218 0.6435 Ba
0.4191 0.4191 0.8382 Cd
0.5809 0.5809 0.1618 Cd
0.3106 0.3106 0.6211 As
0.6894 0.6894 0.3789 As
0.4369 0.9369 0.8738 H
0.9369 0.4369 0.8738 H
0.0631 0.5631 0.1262 H
0.5631 0.0631 0.1262 H
```

Properties
total magnetization = 0.00 Bohr magnetons per cell
final energy = -34.6 eV/cell

Entry 2:
The following is a DFT calculation (PBE-GGA) of crystalline YGa4Sb at its relaxed geometry.

```
YGa4Sb
1.0
-2.6427 -3.1155 -3.8417
2.8643 -2.1647 -4.3080
0.9322 -5.5241 -0.2545
Y Sb Ga
1 1 4
direct
0.0000 0.0000 0.0000 Y
0.2500 0.2500 0.2500 Sb
0.6250 0.6250 0.1249 Ga
0.6250 0.1249 0.6250 Ga
0.6250 0.6250 0.6250 Ga
0.1249 0.6250 0.6250 Ga
```

Properties
total magnetization = 0.00 Bohr magnetons per cell
formation energy without anion corrections = -140 kJ/mol of formula units

Entry 3:
The following is a DFT calculation (PBE-GGA) of crystalline EuDyScIn at its relaxed geometry.

```
EuDyScIn
1.0
5.3775 0.0000 0.0000
2.6888 4.6571 0.0000
2.6888 1.5524 4.3907
Eu Sc In Dy
1 1 1 1
direct
0.2500 0.2500 0.2500 Eu
0.0000 0.0000 0.0000 Sc
0.7500 0.7500 0.7500 In
0.5000 0.5000 0.5000 Dy
```

Properties
total magnetization = 7.84 Bohr magnetons per cell
calculated formation energy = -0.09 eV per atom